# 1
# NbVOs3

Crystalline NbVOs3 at its relaxed geometry (PBE-GGA, Alexandria).

Energy above the most stable polymorph in this dataset = 0.000 eV per atom
Crystal system = cubic
Formation enthalpy at 0 K = 1350 meV per atom
Space-group type = Pm-3m (221)
Calculated total energy = -9.2260 eV per atom

a = 4.4514 Å, b = 4.4514 Å, c = 4.4514 Å
α = 90.00°, β = 90.00°, γ = 90.00°
Element x y z (fractional)
Nb1 0.0000 0.0000 0.0000
V1 0.5000 0.5000 0.5000
Os1 0.0000 0.5000 0.5000
Os2 0.5000 0.0000 0.5000
Os3 0.5000 0.5000 0.0000

# 2
# TaTiPt2Br

Crystalline TaTiPt2Br at its relaxed geometry (PBE-GGA, Alexandria).

Crystal system = tetragonal
Raw formation energy = 0.948 eV/atom
Space-group type = P4/mmm (123)
Calculated total energy = -5.7525 eV per atom

a = 4.8728 Å, b = 4.8728 Å, c = 5.1660 Å
α = 90.00°, β = 90.00°, γ = 90.00°
Element x y z (fractional)
Ta1 0.0000 0.0000 0.0000
Ti1 0.0000 0.0000 0.5000
Pt1 0.0000 0.5000 0.0000
Pt2 0.5000 0.0000 0.0000
Br1 0.5000 0.5000 0.5000

# 3
# CaTl3Ag3I8

Crystalline CaTl3Ag3I8 at its relaxed geometry (PBE-GGA, Alexandria).

Crystal system = monoclinic
Raw formation energy = -0.646 eV/atom
Space-group type = C2/m (12)
Calculated total energy = -2.6497 eV per atom

a = 9.0365 Å, b = 9.0365 Å, c = 9.6031 Å
α = 118.00°, β = 118.00°, γ = 59.77°
Element x y z (fractional)
Ca1 0.0000 0.0000 0.0000
Tl1 0.0000 0.0000 0.5000
Tl2 0.0000 0.5000 0.5000
Tl3 0.5000 0.0000 0.5000
Ag1 0.0000 0.5000 0.0000
Ag2 0.5000 0.0000 0.0000
Ag3 0.5000 0.5000 0.0000
I1 0.2402 0.2402 0.2131
I2 0.2424 0.7327 0.2150
I3 0.2645 0.2645 0.7961
I4 0.2673 0.7576 0.7850
I5 0.7327 0.2424 0.2150
I6 0.7355 0.7355 0.2039
I7 0.7576 0.2673 0.7850
I8 0.7598 0.7598 0.7869

Which of these has the highest calculated total energy?
CaTl3Ag3I8